[1]
The following is a DFT calculation (PBE-GGA) of SmTmTlGa after structural relaxation.

Unit cell a=7.418 b=7.418 c=7.418 alpha=90.00 beta=90.00 gamma=90.00
Fractional coordinates of all 16 atoms:
Sm  0.000  0.000  0.000
Sm  0.000  0.500  0.500
Sm  0.500  0.000  0.500
Sm  0.500  0.500  0.000
Tm  0.000  0.000  0.500
Tm  0.000  0.500  0.000
Tm  0.500  0.000  0.000
Tm  0.500  0.500  0.500
Tl  0.250  0.250  0.250
Tl  0.250  0.750  0.750
Tl  0.750  0.250  0.750
Tl  0.750  0.750  0.250
Ga  0.250  0.250  0.750
Ga  0.250  0.750  0.250
Ga  0.750  0.250  0.250
Ga  0.750  0.750  0.750

## Properties
The distance to the lowest polymorph of the same formula is 0.032 eV per atom. Its formation energy is -0.42 eV/atom.

[2]
The following is a DFT calculation (PBE-GGA) of SrNiH3 after structural relaxation.

Unit cell a=8.984 b=8.984 c=8.984 alpha=155.74 beta=155.74 gamma=34.58
Fractional coordinates of all 10 atoms:
Sr  0.109  0.109  0.000
Sr  0.891  0.891  0.000
Ni  0.500  0.500  0.000
Ni  0.750  0.250  0.500
H  0.002  0.502  0.500
H  0.092  0.317  0.775
H  0.498  0.998  0.500
H  0.542  0.317  0.225
H  0.683  0.458  0.775
H  0.683  0.908  0.225

## Properties
For the calculated total energy, the calculation gives -3.5885 eV/atom.